No. 1
Entry from Alexandria via LeMat-Bulk: Ac3U2O9 after structural relaxation (PBE).

Results
As for the uncorrected formation energy: -3.106 eV/atom. Its space group is I-4m2. The calculation puts the energy at -123.01 eV per cell.

Structure (POSCAR):
```
Ac3U2O9
1.0
-0.052 -4.077 0.409
2.682 0.275 3.086
-12.605 3.020 7.964
U O Ac
2 9 3
direct
0.951 0.451 0.901
0.549 0.049 0.099
0.052 0.052 0.104
0.301 0.301 0.602
0.806 0.806 0.611
0.500 0.500 0.000
0.413 0.413 0.826
0.587 0.587 0.174
0.948 0.948 0.896
0.699 0.699 0.398
0.194 0.194 0.389
0.342 0.842 0.685
0.158 0.658 0.315
0.750 0.250 0.500
```

No. 2
Entry from Alexandria via LeMat-Bulk: IrPb3N after structural relaxation (PBE).

Results
As for the uncorrected formation energy: 1.203 eV/atom. Its space group is Pm-3m. The calculation puts the energy at -22.30 eV per cell.

Structure (POSCAR):
```
IrPb3N
1.0
-0.908 -4.793 -1.897
3.544 -1.979 3.305
-3.743 -0.711 3.589
Pb N Ir
3 1 1
direct
0.000 0.000 0.500
0.000 0.500 0.000
0.500 0.000 0.000
0.500 0.500 0.500
0.000 0.000 0.000
```

No. 3
Entry from Alexandria via LeMat-Bulk: NaY2MgS4 after structural relaxation (PBE).

Results
As for the uncorrected formation energy: -1.720 eV/atom. Its space group is P2/m. The calculation puts the energy at -46.11 eV per cell.

Structure (POSCAR):
```
NaY2MgS4
1.0
3.870 0.000 0.000
0.000 6.782 -0.176
0.000 2.335 6.317
S Na Mg Y
4 1 1 2
direct
0.000 0.249 0.261
0.500 0.259 0.738
0.000 0.751 0.739
0.500 0.741 0.262
0.500 0.500 0.000
0.000 0.500 0.500
0.500 0.000 0.500
0.000 0.000 0.000
```

No. 4
Entry from Alexandria via LeMat-Bulk: Ca3PmNi2 after structural relaxation (PBE).

Results
Its space group is C2/m. The calculation puts the energy at -46.53 eV per cell. For the formation enthalpy at 0 K, the calculation gives -0.1582 eV/atom.

Structure (POSCAR):
```
Ca3PmNi2
1.0
3.918 0.000 0.790
1.608 8.334 2.137
-0.061 0.249 10.417
Ni Ca Pm
4 6 2
direct
0.237 0.577 0.949
0.763 0.423 0.051
0.765 0.923 0.547
0.235 0.077 0.453
0.412 0.237 0.940
0.586 0.269 0.558
0.157 0.935 0.751
0.414 0.731 0.442
0.588 0.763 0.060
0.843 0.065 0.249
0.170 0.415 0.245
0.830 0.585 0.755
```

No. 5
Entry from Alexandria via LeMat-Bulk: Tm8Zn2Cd after structural relaxation (PBE).

Results
Its space group is C2/m. The calculation puts the energy at -39.72 eV per cell. For the formation enthalpy at 0 K, the calculation gives -0.0444 eV/atom.

Structure (POSCAR):
```
Tm8Zn2Cd
1.0
5.328 -0.198 -0.298
-1.162 8.048 -0.367
-1.162 -3.438 7.285
Tm Cd Zn
8 1 2
direct
0.500 0.772 0.228
0.103 0.331 0.088
0.696 0.393 0.393
0.897 0.912 0.669
0.304 0.607 0.607
0.103 0.088 0.331
0.897 0.669 0.912
0.500 0.228 0.772
0.500 0.000 0.000
0.000 0.694 0.306
0.000 0.306 0.694
```

No. 6
Entry from Alexandria via LeMat-Bulk: PmTm2Cd after structural relaxation (PBE).

Results
Its space group is Fm-3m. The calculation puts the energy at -14.48 eV per cell. For the formation enthalpy at 0 K, the calculation gives 0.0323 eV/atom.

Structure (POSCAR):
```
PmTm2Cd
1.0
-3.339 -3.047 -3.008
1.035 -5.285 -0.696
-3.160 -3.721 2.377
Tm Cd Pm
2 1 1
direct
0.750 0.750 0.750
0.250 0.250 0.250
0.500 0.500 0.500
0.000 0.000 0.000
```

No. 7
Entry from Alexandria via LeMat-Bulk: DyCoSnIr after structural relaxation (PBE).

Results
Its space group is F-43m. The calculation puts the energy at -26.22 eV per cell. For the formation enthalpy at 0 K, the calculation gives -0.4120 eV/atom.

Structure (POSCAR):
```
DyCoSnIr
1.0
4.654 0.000 0.000
2.327 4.030 0.000
2.327 1.343 3.800
Ir Dy Co Sn
1 1 1 1
direct
0.500 0.500 0.500
0.750 0.750 0.750
0.000 0.000 0.000
0.250 0.250 0.250
```

No. 8
Entry from Alexandria via LeMat-Bulk: YAsPb after structural relaxation (PBE).

Results
Its space group is F-43m. The calculation puts the energy at -15.41 eV per cell. For the formation enthalpy at 0 K, the calculation gives -0.1971 eV/atom.

Structure (POSCAR):
```
YAsPb
1.0
-0.194 3.018 -4.022
1.257 -1.773 -4.539
-3.548 -0.697 -3.500
Pb As Y
1 1 1
direct
0.500 0.500 0.500
0.000 0.000 0.000
0.250 0.250 0.250
```

No. 9
Entry from Alexandria via LeMat-Bulk: MgZrBe2Cd after structural relaxation (PBE).

Results
Its space group is P4/mmm. The calculation puts the energy at -13.82 eV per cell. For the formation enthalpy at 0 K, the calculation gives 0.9385 eV/atom.

Structure (POSCAR):
```
MgZrBe2Cd
1.0
-3.375 2.546 -1.463
-3.049 -1.734 4.019
1.443 3.379 2.552
Be Zr Mg Cd
2 1 1 1
direct
0.500 0.000 0.000
0.000 0.000 0.500
0.000 0.500 0.000
0.500 0.500 0.500
0.000 0.000 0.000
```

no.,total magnetic moment (μB/f.u.),Fermi-level density of states (states/eV/f.u.)
1,2.98,7.9
2,0.00,1.9
3,0.00,3.0
4,0.00,4.4
5,0.00,14.8
6,0.66,6.0
7,1.03,1.1
8,0.00,3.0
9,0.00,4.0